No. 1
The following is a DFT calculation (PBE) of crystalline AlGa2PbSe6 at its relaxed geometry.

Values from the calculation:
E_tot ... -78.735 eV for the cell shown
Formation energy from raw total energies ... -496 meV per atom

```
data_AlGa2PbSe6
_symmetry_space_group_name_H-M 'P 1'
_symmetry_Int_Tables_number 1
_cell_length_a 7.640
_cell_length_b 9.356
_cell_length_c 9.356
_cell_angle_alpha 87.33
_cell_angle_beta 70.87
_cell_angle_gamma 70.87
loop_
_symmetry_equiv_pos_as_xyz
'x,y,z'
loop_
_atom_site_label
_atom_site_fract_x
_atom_site_fract_y
_atom_site_fract_z
Ga1 0.864 0.604 0.756
Ga2 0.364 0.756 0.604
Ga3 0.636 0.244 0.396
Ga4 0.136 0.396 0.244
Al1 0.750 0.822 0.178
Al2 0.250 0.178 0.822
Se1 0.399 0.448 0.317
Se2 0.325 0.175 0.059
Se3 0.825 0.059 0.175
Se4 0.601 0.552 0.683
Se5 0.101 0.683 0.552
Se6 0.675 0.825 0.941
Se7 0.939 0.376 0.889
Se8 0.439 0.889 0.376
Se9 0.899 0.317 0.448
Se10 0.561 0.111 0.624
Se11 0.061 0.624 0.111
Se12 0.175 0.941 0.825
Pb1 0.750 0.137 0.863
Pb2 0.250 0.863 0.137
```


No. 2
The following is a DFT calculation (PBE) of crystalline Ca5P2H2 at its relaxed geometry.

Values from the calculation:
E_tot ... -33.576 eV for the cell shown

```
data_Ca5P2H2
_symmetry_space_group_name_H-M 'P 1'
_symmetry_Int_Tables_number 1
_cell_length_a 4.847
_cell_length_b 6.885
_cell_length_c 6.764
_cell_angle_alpha 110.80
_cell_angle_beta 90.00
_cell_angle_gamma 110.61
loop_
_symmetry_equiv_pos_as_xyz
'x,y,z'
loop_
_atom_site_label
_atom_site_fract_x
_atom_site_fract_y
_atom_site_fract_z
Ca1 0.000 0.000 0.000
Ca2 0.161 0.321 0.528
Ca3 0.641 0.283 0.885
Ca4 0.359 0.717 0.115
Ca5 0.839 0.679 0.472
P1 0.599 0.197 0.288
P2 0.401 0.803 0.712
H1 0.158 0.316 0.875
H2 0.842 0.684 0.125
```


No. 3
The following is a DFT calculation (PBE) of crystalline SbAsBr2O at its relaxed geometry.

Values from the calculation:
E_tot ... -13.079 eV for the cell shown
Formation energy from raw total energies ... 799 meV per atom

```
data_SbAsBr2O
_symmetry_space_group_name_H-M 'P 1'
_symmetry_Int_Tables_number 1
_cell_length_a 5.519
_cell_length_b 5.519
_cell_length_c 5.644
_cell_angle_alpha 90.00
_cell_angle_beta 90.00
_cell_angle_gamma 90.00
loop_
_symmetry_equiv_pos_as_xyz
'x,y,z'
loop_
_atom_site_label
_atom_site_fract_x
_atom_site_fract_y
_atom_site_fract_z
As1 0.000 0.000 0.500
Sb1 0.000 0.000 0.000
O1 0.500 0.500 0.500
Br1 0.000 0.500 0.000
Br2 0.500 0.000 0.000
```